A relaxed structure of Na2Ag, computed with PBE.

* formation enthalpy at 0 K: 69.2 kJ/mol of formula units
* M_tot: 0.00 μB per formula unit

Cell: 5.978 5.978 5.978 Å, 60.00 60.00 60.00°
Positions (direct):
Na 0.125 0.625 0.625
Na 0.625 0.125 0.625
Na 0.625 0.625 0.625
Na 0.625 0.625 0.125
Ag 0.000 0.000 0.000
Ag 0.250 0.250 0.250